PBE BeVNi3, optimized geometry; Fermi-level density of states = 6.75 states/eV per cell; crystal system = cubic; DFT formation energy = 0.248 eV/atom; ΔE to the lowest computed polymorph = 0 meV/atom; space-group type = No. 221; uncorrected energy = -28.947 eV for the cell shown
1.0
3.8740 0.0000 0.0000
0.0000 3.8740 0.0000
0.0000 0.0000 3.8740
Ni V Be
3 1 1
Cartesian
0.0000 1.9370 0.0000
0.0000 0.0000 1.9370
1.9370 0.0000 0.0000
1.9370 1.9370 1.9370
0.0000 0.0000 0.0000

---

PBE VGeRu3, optimized geometry; Fermi-level density of states = 5.17 states/eV per cell; crystal system = cubic; DFT formation energy = 1.119 eV/atom; ΔE to the lowest computed polymorph = 54 meV/atom; space-group type = No. 221; uncorrected energy = -35.966 eV for the cell shown
1.0
-3.2224 -3.0592 -0.3471
1.7061 -1.3561 -3.8875
2.5629 -2.9437 2.1515
Ru Ge V
3 1 1
Cartesian
0.8530 -0.6780 -1.9438
1.2814 -1.4718 1.0758
-1.6112 -1.5296 -0.1735
0.5233 -3.6794 -1.0415
0.0000 0.0000 0.0000

---

PBE TmTa3C4, optimized geometry; Fermi-level density of states = 2.71 states/eV per cell; crystal system = orthorhombic; DFT formation energy = -0.575 eV/atom; space-group type = No. 65; uncorrected energy = -81.527 eV for the cell shown
1.0
3.2116 -0.0402 0.0543
0.0412 5.3920 1.5556
-0.0910 0.2947 5.6035
C Tm Ta
4 1 3
Cartesian
3.1762 4.3088 5.3575
1.6134 4.1372 2.6438
3.1969 1.2987 1.9103
1.5481 1.5105 4.5696
1.5352 2.9712 6.4084
1.5602 0.1279 2.8291
3.1199 0.2552 5.6579
-0.0245 2.8442 3.5794

---

PBE YTa2Ag, optimized geometry; Fermi-level density of states = 3.68 states/eV per cell; crystal system = orthorhombic; DFT formation energy = 0.281 eV/atom; ΔE to the lowest computed polymorph = 99 meV/atom; space-group type = No. 71; uncorrected energy = -31.897 eV for the cell shown
1.0
-1.6035 -4.9980 2.9660
-0.9253 -5.9560 -0.1361
3.7010 -2.4862 1.5769
Ag Ta Y
1 2 1
Cartesian
0.2930 -3.3601 1.1017
-2.4255 -10.8126 2.8088
0.4827 -6.8616 2.2245
0.8791 -10.0802 3.3051

---

PBE V2OsI2, optimized geometry; Fermi-level density of states = 6.67 states/eV per cell; crystal system = tetragonal; ΔE to the lowest computed polymorph = 70 meV/atom; space-group type = No. 139; uncorrected energy = -26.180 eV for the cell shown; formation energy without anion corrections = 6.4 eV/f.u.
1.0
3.4390 0.0000 0.0000
0.0000 3.4390 0.0000
1.7195 1.7195 8.4191
I Os V
2 1 2
Cartesian
1.7195 1.7195 1.9793
3.4390 3.4390 6.4398
0.0000 0.0000 0.0000
3.4390 1.7195 4.2095
1.7195 3.4390 4.2095

---

PBE CrNiMoPt, optimized geometry; Fermi-level density of states = 3.03 states/eV per cell; crystal system = cubic; DFT formation energy = 0.002 eV/atom; space-group type = No. 216; uncorrected energy = -32.268 eV for the cell shown
1.0
4.2418 0.0000 0.0000
2.1209 3.6735 0.0000
2.1209 1.2245 3.4634
Ni Mo Pt Cr
1 1 1 1
Cartesian
2.1209 1.2245 0.8658
4.2418 2.4490 1.7317
0.0000 0.0000 0.0000
6.3626 3.6735 2.5975

---

PBE Pu3ReSi7, optimized geometry; Fermi-level density of states = 51.67 states/eV per cell; crystal system = orthorhombic; space-group type = No. 63; uncorrected energy = -193.539 eV for the cell shown; formation energy without anion corrections = -3.4 eV/f.u.
1.0
3.9472 0.0000 0.0000
-1.9736 9.4594 0.0000
0.0000 0.0000 10.6029
Pu Re Si
6 2 14
Cartesian
0.0000 2.0134 4.7208
1.9736 7.4459 5.8821
0.0000 4.4109 7.9521
1.9736 5.0485 2.6507
0.0000 2.0134 0.5807
1.9736 7.4459 10.0222
1.9736 8.4028 2.6507
0.0000 1.0566 7.9521
0.0000 7.2389 7.9521
1.9736 2.2204 2.6507
1.9736 0.0154 4.0113
0.0000 9.4439 6.5915
0.0000 9.4439 9.3127
1.9736 0.0154 1.2901
0.0000 7.1037 3.8007
1.9736 2.3557 6.8022
0.0000 5.0270 4.8021
1.9736 4.4323 5.8008
1.9736 4.4323 10.1035
0.0000 5.0270 0.4993
0.0000 7.1037 1.5008
1.9736 2.3557 9.1021

---

PBE AlCu, optimized geometry; Fermi-level density of states = 7.65 states/eV per cell; crystal system = orthorhombic; DFT formation energy = -0.063 eV/atom; space-group type = No. 70; uncorrected energy = -127.447 eV for the cell shown
1.0
-8.7777 -6.2326 -1.6147
7.8007 -10.4244 -2.1677
-0.0744 -0.7089 3.1409
Al Cu
16 16
Cartesian
-1.2255 -0.8701 -0.2254
-7.5522 -5.3625 -1.3892
4.8629 -8.6836 -1.0188
2.4120 -10.4238 -1.4697
2.6377 -6.4368 0.2612
-3.6891 -10.9291 -0.9026
0.9254 -3.8258 1.6355
-1.5255 -5.5661 1.1847
-5.6515 -4.3409 0.5377
-3.2006 -2.6006 0.9886
0.4369 -12.1543 -0.2557
-2.0140 -13.8946 -0.7065
-1.7140 -9.1987 -2.1166
0.7370 -7.4584 -1.6658
-3.4263 -6.5877 -0.7423
-5.8772 -8.3279 -1.1931
4.6622 -6.2303 -1.2956
3.1385 -4.1941 -0.8722
-1.0247 -3.3233 0.0514
0.4990 -5.3596 -0.3721
0.7247 -1.3726 1.3588
7.0016 -9.7607 -0.3856
2.8384 -8.8900 0.5380
4.3621 -10.9263 0.1145
0.2362 -9.7011 -0.5325
-1.2876 -7.6648 -0.1090
-5.4508 -6.7941 0.8145
-3.9271 -8.8304 0.3911
-3.6270 -4.1345 -1.0191
2.6500 -12.5226 -2.7634
-1.5132 -11.6519 -1.8399
0.0105 -13.6881 -2.2633